Record 1
Material: Li2Tl5Pb5
Method: DFT, GGA-PBE
State: relaxed

Cell lengths 7.528, 7.528, 10.849 Å; angles 115.33, 115.33, 39.22 degrees
Positions (direct):
Li: 0.083 0.083 0.254
Li: 0.917 0.917 0.746
Tl: 0.000 0.000 0.500
Tl: 0.157 0.157 0.995
Tl: 0.255 0.255 0.753
Tl: 0.745 0.745 0.247
Tl: 0.843 0.843 0.005
Pb: 0.325 0.325 0.493
Pb: 0.423 0.423 0.253
Pb: 0.500 0.500 0.000
Pb: 0.577 0.577 0.747
Pb: 0.675 0.675 0.507

***

Record 2
Material: LiTl4Pb3
Method: DFT, GGA-PBE
State: relaxed

Cell lengths 13.959, 13.959, 5.195 Å; angles 100.58, 100.58, 13.79 degrees
Positions (direct):
Li: 0.000 0.000 0.000
Tl: 0.215 0.215 0.214
Tl: 0.413 0.413 0.914
Tl: 0.587 0.587 0.086
Tl: 0.785 0.785 0.786
Pb: 0.344 0.344 0.346
Pb: 0.500 0.500 0.500
Pb: 0.656 0.656 0.654

***

Record 3
Material: Li2TlPb2
Method: DFT, GGA-PBE
State: relaxed

Calculated values
Offset from the most stable computed form   21 meV/atom

Cell lengths 8.570, 8.570, 3.455 Å; angles 90.00, 90.00, 90.00 degrees
Positions (direct):
Li: 0.172 0.328 0.000
Li: 0.328 0.828 0.000
Li: 0.672 0.172 0.000
Li: 0.828 0.672 0.000
Tl: 0.000 0.000 0.500
Tl: 0.500 0.500 0.500
Pb: 0.128 0.628 0.500
Pb: 0.372 0.128 0.500
Pb: 0.628 0.872 0.500
Pb: 0.872 0.372 0.500

***

Record 4
Material: LiTl6Pb2
Method: DFT, GGA-PBE
State: relaxed

Calculated values
Offset from the most stable computed form   38 meV/atom

Cell lengths 6.866, 5.145, 8.200 Å; angles 90.00, 112.30, 90.00 degrees
Positions (direct):
Li: 0.000 0.000 0.000
Tl: 0.129 0.000 0.715
Tl: 0.259 0.500 0.998
Tl: 0.405 0.000 0.281
Tl: 0.595 0.000 0.719
Tl: 0.741 0.500 0.002
Tl: 0.871 0.000 0.285
Pb: 0.239 0.500 0.476
Pb: 0.761 0.500 0.524

***

Record 5
Material: Li8TlPb2
Method: DFT, GGA-PBE
State: relaxed

Cell lengths 7.517, 7.517, 7.240 Å; angles 116.42, 116.42, 36.39 degrees
Positions (direct):
Li: 0.023 0.023 0.225
Li: 0.151 0.151 0.700
Li: 0.331 0.331 0.610
Li: 0.394 0.394 0.058
Li: 0.606 0.606 0.942
Li: 0.669 0.669 0.390
Li: 0.849 0.849 0.300
Li: 0.977 0.977 0.775
Tl: 0.500 0.500 0.500
Pb: 0.210 0.210 0.163
Pb: 0.790 0.790 0.837

***

Record 6
Material: LiTl2Pb
Method: DFT, GGA-PBE
State: relaxed

Calculated values
Offset from the most stable computed form   44 meV/atom

Cell lengths 10.120, 10.120, 10.120 Å; angles 20.31, 20.31, 20.31 degrees
Positions (direct):
Li: 0.000 0.000 0.000
Tl: 0.496 0.496 0.496
Tl: 0.738 0.738 0.738
Pb: 0.256 0.256 0.256

***

Record 7
Material: LiTl2Pb
Method: DFT, GGA-PBE
State: relaxed

Calculated values
Offset from the most stable computed form   16 meV/atom

Cell lengths 5.869, 5.869, 5.869 Å; angles 132.23, 132.23, 69.87 degrees
Positions (direct):
Li: 0.000 0.000 0.000
Tl: 0.500 0.500 0.000
Tl: 0.750 0.250 0.500
Pb: 0.250 0.750 0.500

***

Record 8
Material: Li2TlPb
Method: DFT, GGA-PBE
State: relaxed

Calculated values
Offset from the most stable computed form   0 meV/atom

Cell lengths 3.523, 3.523, 6.997 Å; angles 90.00, 90.00, 90.00 degrees
Positions (direct):
Li: 0.000 0.000 0.246
Li: 0.000 0.000 0.754
Tl: 0.500 0.500 0.000
Pb: 0.500 0.500 0.500

***

Record 9
Material: LiTl2Pb6
Method: DFT, GGA-PBE
State: relaxed

Calculated values
Offset from the most stable computed form   0 meV/atom

Cell lengths 6.814, 6.814, 6.984 Å; angles 90.00, 90.00, 120.00 degrees
Positions (direct):
Li: 0.000 0.000 0.000
Tl: 0.333 0.667 0.127
Tl: 0.667 0.333 0.873
Pb: 0.170 0.339 0.687
Pb: 0.170 0.830 0.687
Pb: 0.339 0.170 0.313
Pb: 0.661 0.830 0.687
Pb: 0.830 0.170 0.313
Pb: 0.830 0.661 0.313

***

Record 10
Material: LiTl4Pb4
Method: DFT, GGA-PBE
State: relaxed

Cell lengths 8.803, 8.803, 8.803 Å; angles 92.39, 92.39, 156.44 degrees
Positions (direct):
Li: 0.000 0.000 0.000
Tl: 0.329 0.636 0.965
Tl: 0.364 0.329 0.693
Tl: 0.636 0.671 0.307
Tl: 0.671 0.364 0.035
Pb: 0.042 0.663 0.706
Pb: 0.337 0.042 0.379
Pb: 0.663 0.958 0.621
Pb: 0.958 0.337 0.294

***

Record 11
Material: LiTl5Pb
Method: DFT, GGA-PBE
State: relaxed

Cell lengths 6.772, 6.772, 11.138 Å; angles 102.77, 102.77, 56.89 degrees
Positions (direct):
Li: 0.000 0.000 0.000
Li: 0.000 0.000 0.500
Tl: 0.117 0.344 0.154
Tl: 0.264 0.446 0.455
Tl: 0.302 0.698 0.750
Tl: 0.344 0.117 0.654
Tl: 0.446 0.264 0.955
Tl: 0.554 0.736 0.045
Tl: 0.656 0.883 0.346
Tl: 0.698 0.302 0.250
Tl: 0.736 0.554 0.545
Tl: 0.883 0.656 0.846
Pb: 0.197 0.803 0.250
Pb: 0.803 0.197 0.750

***

Record 12
Material: Li5Tl6Pb
Method: DFT, GGA-PBE
State: relaxed

Cell lengths 8.598, 8.598, 4.835 Å; angles 106.14, 106.14, 113.84 degrees
Positions (direct):
Li: 0.000 0.000 0.000
Li: 0.177 0.823 0.500
Li: 0.352 0.648 0.000
Li: 0.648 0.352 0.000
Li: 0.823 0.177 0.500
Tl: 0.050 0.397 0.223
Tl: 0.212 0.212 0.710
Tl: 0.397 0.050 0.223
Tl: 0.603 0.950 0.777
Tl: 0.788 0.788 0.290
Tl: 0.950 0.603 0.777
Pb: 0.500 0.500 0.500

***

Record 13
Material: LiTlPb2
Method: DFT, GGA-PBE
State: relaxed

Cell lengths 5.700, 5.700, 3.593 Å; angles 90.00, 90.00, 107.65 degrees
Positions (direct):
Li: 0.000 0.000 0.000
Tl: 0.500 0.500 0.000
Pb: 0.000 0.500 0.500
Pb: 0.500 0.000 0.500

***

Record 14
Material: LiTl2Pb
Method: DFT, GGA-PBE
State: relaxed

Calculated values
Offset from the most stable computed form   123 meV/atom

Cell lengths 11.687, 11.687, 11.687 Å; angles 157.69, 157.69, 31.76 degrees
Positions (direct):
Li: 0.000 0.000 0.000
Li: 0.750 0.250 0.500
Tl: 0.114 0.625 0.989
Tl: 0.375 0.364 0.489
Tl: 0.636 0.125 0.011
Tl: 0.875 0.886 0.511
Pb: 0.250 0.750 0.500
Pb: 0.500 0.500 0.000

***

Record 15
Material: LiTl4Pb
Method: DFT, GGA-PBE
State: relaxed

Calculated values
Offset from the most stable computed form   0 meV/atom

Cell lengths 9.949, 9.949, 6.305 Å; angles 99.51, 99.51, 140.74 degrees
Positions (direct):
Li: 0.226 0.774 0.750
Li: 0.774 0.226 0.250
Tl: 0.108 0.362 0.717
Tl: 0.202 0.305 0.248
Tl: 0.305 0.202 0.748
Tl: 0.362 0.108 0.217
Tl: 0.638 0.892 0.783
Tl: 0.695 0.798 0.252
Tl: 0.798 0.695 0.752
Tl: 0.892 0.638 0.283
Pb: 0.282 0.718 0.250
Pb: 0.718 0.282 0.750

***

Record 16
Material: Li6TlPb3
Method: DFT, GGA-PBE
State: relaxed

Calculated values
Offset from the most stable computed form   0 meV/atom

Cell lengths 8.361, 4.940, 10.872 Å; angles 90.00, 110.19, 90.00 degrees
Positions (direct):
Li: 0.049 0.250 0.427
Li: 0.175 0.750 0.187
Li: 0.246 0.250 0.013
Li: 0.346 0.250 0.333
Li: 0.348 0.750 0.781
Li: 0.428 0.250 0.626
Li: 0.572 0.750 0.374
Li: 0.652 0.250 0.219
Li: 0.654 0.750 0.667
Li: 0.754 0.750 0.987
Li: 0.825 0.250 0.813
Li: 0.951 0.750 0.573
Tl: 0.450 0.750 0.085
Tl: 0.550 0.250 0.915
Pb: 0.040 0.750 0.884
Pb: 0.119 0.250 0.712
Pb: 0.285 0.750 0.482
Pb: 0.715 0.250 0.518
Pb: 0.881 0.750 0.288
Pb: 0.960 0.250 0.116

***

Record 17
Material: Li3TlPb
Method: DFT, GGA-PBE
State: relaxed

Calculated values
Offset from the most stable computed form   0 meV/atom

Cell lengths 3.718, 7.135, 8.200 Å; angles 102.45, 102.77, 90.05 degrees
Positions (direct):
Li: 0.000 0.244 0.000
Li: 0.000 0.756 0.000
Li: 0.196 0.342 0.396
Li: 0.197 0.856 0.397
Li: 0.803 0.144 0.603
Li: 0.804 0.658 0.604
Tl: 0.396 0.948 0.789
Tl: 0.604 0.052 0.211
Pb: 0.398 0.447 0.790
Pb: 0.602 0.553 0.210

***

Record 18
Material: LiTlPb2
Method: DFT, GGA-PBE
State: relaxed

Cell lengths 4.788, 4.788, 4.821 Å; angles 90.00, 90.00, 90.00 degrees
Positions (direct):
Li: 0.000 0.000 0.000
Tl: 0.500 0.500 0.000
Pb: 0.000 0.500 0.500
Pb: 0.500 0.000 0.500

***

Record 19
Material: LiTlPb
Method: DFT, GGA-PBE
State: relaxed

Cell lengths 6.218, 6.218, 6.432 Å; angles 120.37, 120.37, 48.31 degrees
Positions (direct):
Li: 0.161 0.161 0.254
Li: 0.839 0.839 0.746
Tl: 0.464 0.464 0.716
Tl: 0.536 0.536 0.284
Pb: 0.172 0.172 0.775
Pb: 0.828 0.828 0.225

***

Record 20
Material: Li3TlPb
Method: DFT, GGA-PBE
State: relaxed

Calculated values
Offset from the most stable computed form   16 meV/atom

Cell lengths 7.505, 7.505, 5.985 Å; angles 96.41, 96.41, 38.83 degrees
Positions (direct):
Li: 0.003 0.003 0.242
Li: 0.209 0.209 0.070
Li: 0.410 0.410 0.347
Li: 0.590 0.590 0.653
Li: 0.791 0.791 0.930
Li: 0.997 0.997 0.758
Tl: 0.181 0.181 0.570
Tl: 0.819 0.819 0.430
Pb: 0.395 0.395 0.846
Pb: 0.605 0.605 0.154

***

What are the electronic total energy values for these records? In order: -2.91 -2.80 -2.86 -2.59 -2.53 -2.64 -2.67 -2.73 -3.21 -2.93 -2.49 -2.45 -3.02 -2.56 -2.56 -2.77 -2.61 -3.03 -2.80 -2.60 eV/atom.
What are the total magnetic moment values for these records? In order: 0.0 0.0 0.0 0.0 0.0 0.0 0.0 0.0 0.0 0.0 0.0 0.0 0.0 0.0 0.0 0.0 0.0 0.0 0.0 0.0 Bohr magnetons per cell.